[1]
# CdGa3Pt2 (GGA-PBE, relaxed)
data_CdGa3Pt2
_cell_length_a 3.700
_cell_length_b 8.397
_cell_length_c 11.584
_cell_angle_alpha 107.31
_cell_angle_beta 90.00
_cell_angle_gamma 102.73
_symmetry_space_group_name_H-M 'P 1'
_symmetry_Int_Tables_number 1
loop_
_symmetry_equiv_pos_as_xyz
'x,y,z'
loop_
_atom_site_label
_atom_site_type_symbol
_atom_site_fract_x
_atom_site_fract_y
_atom_site_fract_z
_atom_site_occupancy
Cd1 Cd 0.146 0.293 0.740 1
Cd2 Cd 0.854 0.707 0.260 1
Cd3 Cd 0.000 0.000 0.000 1
Ga1 Ga 0.027 0.055 0.327 1
Ga2 Ga 0.973 0.945 0.673 1
Ga3 Ga 0.237 0.473 0.389 1
Ga4 Ga 0.763 0.527 0.611 1
Ga5 Ga 0.630 0.261 0.204 1
Ga6 Ga 0.370 0.739 0.796 1
Ga7 Ga 0.500 0.000 0.500 1
Ga8 Ga 0.322 0.644 0.014 1
Ga9 Ga 0.678 0.356 0.986 1
Pt1 Pt 0.222 0.444 0.156 1
Pt2 Pt 0.778 0.556 0.844 1
Pt3 Pt 0.469 0.938 0.172 1
Pt4 Pt 0.531 0.062 0.828 1
Pt5 Pt 0.368 0.736 0.571 1
Pt6 Pt 0.632 0.264 0.429 1
# V: 334.4 Å³ per cell
# E_form: -412 meV per atom



[2]
# Cd3GaPt3 (GGA-PBE, relaxed)
data_Cd3GaPt3
_cell_length_a 5.626
_cell_length_b 5.626
_cell_length_c 8.445
_cell_angle_alpha 91.08
_cell_angle_beta 91.08
_cell_angle_gamma 100.63
_symmetry_space_group_name_H-M 'P 1'
_symmetry_Int_Tables_number 1
loop_
_symmetry_equiv_pos_as_xyz
'x,y,z'
loop_
_atom_site_label
_atom_site_type_symbol
_atom_site_fract_x
_atom_site_fract_y
_atom_site_fract_z
_atom_site_occupancy
Cd1 Cd 0.554 0.554 0.315 1
Cd2 Cd 0.186 0.814 0.500 1
Cd3 Cd 0.814 0.186 0.500 1
Cd4 Cd 0.273 0.727 0.000 1
Cd5 Cd 0.727 0.273 0.000 1
Cd6 Cd 0.446 0.446 0.685 1
Ga1 Ga 0.770 0.770 0.950 1
Ga2 Ga 0.230 0.230 0.050 1
Pt1 Pt 0.945 0.945 0.222 1
Pt2 Pt 0.968 0.529 0.747 1
Pt3 Pt 0.529 0.968 0.747 1
Pt4 Pt 0.032 0.471 0.253 1
Pt5 Pt 0.471 0.032 0.253 1
Pt6 Pt 0.055 0.055 0.778 1
# V: 262.5 Å³ per cell
# E_form: -277 meV per atom



[3]
# CdGaPt3 (GGA-PBE, relaxed)
data_CdGaPt3
_cell_length_a 3.400
_cell_length_b 6.557
_cell_length_c 7.567
_cell_angle_alpha 90.00
_cell_angle_beta 90.00
_cell_angle_gamma 90.00
_symmetry_space_group_name_H-M 'P 1'
_symmetry_Int_Tables_number 1
loop_
_symmetry_equiv_pos_as_xyz
'x,y,z'
loop_
_atom_site_label
_atom_site_type_symbol
_atom_site_fract_x
_atom_site_fract_y
_atom_site_fract_z
_atom_site_occupancy
Cd1 Cd 0.590 0.038 0.888 1
Cd2 Cd 0.590 0.186 0.388 1
Ga1 Ga 0.591 0.612 0.138 1
Ga2 Ga 0.591 0.612 0.638 1
Pt1 Pt 0.091 0.912 0.577 1
Pt2 Pt 0.091 0.312 0.698 1
Pt3 Pt 0.091 0.312 0.077 1
Pt4 Pt 0.091 0.679 0.888 1
Pt5 Pt 0.091 0.912 0.198 1
Pt6 Pt 0.091 0.545 0.388 1
# E above lowest polymorph: 0.0 meV per atom
# V: 168.7 Å³ per cell
# E_form: -421 meV per atom



[4]
# CdGaPt3 (GGA-PBE, relaxed)
data_CdGaPt3
_cell_length_a 5.530
_cell_length_b 5.530
_cell_length_c 8.209
_cell_angle_alpha 70.25
_cell_angle_beta 70.26
_cell_angle_gamma 60.06
_symmetry_space_group_name_H-M 'P 1'
_symmetry_Int_Tables_number 1
loop_
_symmetry_equiv_pos_as_xyz
'x,y,z'
loop_
_atom_site_label
_atom_site_type_symbol
_atom_site_fract_x
_atom_site_fract_y
_atom_site_fract_z
_atom_site_occupancy
Cd1 Cd 0.431 0.556 0.501 1
Cd2 Cd 0.683 0.811 0.740 1
Ga1 Ga 0.050 0.179 0.635 1
Ga2 Ga 0.889 0.018 0.121 1
Pt1 Pt 0.973 0.097 0.378 1
Pt2 Pt 0.622 0.274 0.876 1
Pt3 Pt 0.145 0.750 0.877 1
Pt4 Pt 0.145 0.274 0.875 1
Pt5 Pt 0.974 0.595 0.378 1
Pt6 Pt 0.471 0.096 0.380 1
# E above lowest polymorph: 147.7 meV per atom
# V: 200.3 Å³ per cell
# E_form: -274 meV per atom



[5]
# PuCdGaPt (GGA-PBE, relaxed)
data_PuCdGaPt
_cell_length_a 4.866
_cell_length_b 4.866
_cell_length_c 4.866
_cell_angle_alpha 60.00
_cell_angle_beta 60.00
_cell_angle_gamma 60.00
_symmetry_space_group_name_H-M 'P 1'
_symmetry_Int_Tables_number 1
loop_
_symmetry_equiv_pos_as_xyz
'x,y,z'
loop_
_atom_site_label
_atom_site_type_symbol
_atom_site_fract_x
_atom_site_fract_y
_atom_site_fract_z
_atom_site_occupancy
Cd1 Cd 0.750 0.750 0.750 1
Ga1 Ga 0.500 0.500 0.500 1
Pt1 Pt 0.000 0.000 0.000 1
Pu1 Pu 0.250 0.250 0.250 1
# V: 81.5 Å³ per cell
# E_form: -393 meV per atom



[6]
# PuCdGaPt3 (GGA-PBE, relaxed)
data_PuCdGaPt3
_cell_length_a 5.714
_cell_length_b 7.153
_cell_length_c 7.089
_cell_angle_alpha 120.29
_cell_angle_beta 90.00
_cell_angle_gamma 90.00
_symmetry_space_group_name_H-M 'P 1'
_symmetry_Int_Tables_number 1
loop_
_symmetry_equiv_pos_as_xyz
'x,y,z'
loop_
_atom_site_label
_atom_site_type_symbol
_atom_site_fract_x
_atom_site_fract_y
_atom_site_fract_z
_atom_site_occupancy
Pu1 Pu 0.750 0.314 0.627 1
Pu2 Pu 0.250 0.686 0.373 1
Cd1 Cd 0.250 0.936 0.871 1
Cd2 Cd 0.750 0.064 0.129 1
Ga1 Ga 0.250 0.370 0.740 1
Ga2 Ga 0.750 0.630 0.260 1
Pt1 Pt 0.250 0.172 0.344 1
Pt2 Pt 0.000 0.302 0.000 1
Pt3 Pt 0.500 0.698 0.000 1
Pt4 Pt 0.500 0.302 0.000 1
Pt5 Pt 0.000 0.698 0.000 1
Pt6 Pt 0.750 0.828 0.656 1
# V: 250.2 Å³ per cell
# E_form: -340 meV per atom



[7]
# Pu2CdGa4Pt3 (GGA-PBE, relaxed)
data_Pu2CdGa4Pt3
_cell_length_a 4.208
_cell_length_b 4.208
_cell_length_c 11.137
_cell_angle_alpha 90.00
_cell_angle_beta 90.00
_cell_angle_gamma 90.00
_symmetry_space_group_name_H-M 'P 1'
_symmetry_Int_Tables_number 1
loop_
_symmetry_equiv_pos_as_xyz
'x,y,z'
loop_
_atom_site_label
_atom_site_type_symbol
_atom_site_fract_x
_atom_site_fract_y
_atom_site_fract_z
_atom_site_occupancy
Pu1 Pu 0.500 0.000 0.238 1
Pu2 Pu 0.000 0.500 0.762 1
Cd1 Cd 0.500 0.500 0.500 1
Ga1 Ga 0.500 0.500 0.000 1
Ga2 Ga 0.000 0.000 0.000 1
Ga3 Ga 0.500 0.000 0.644 1
Ga4 Ga 0.000 0.500 0.356 1
Pt1 Pt 0.000 0.000 0.500 1
Pt2 Pt 0.500 0.000 0.867 1
Pt3 Pt 0.000 0.500 0.133 1
# V: 197.2 Å³ per cell
# E_form: -607 meV per atom



[8]
# RbCdGa2Pt (GGA-PBE, relaxed)
data_RbCdGa2Pt
_cell_length_a 4.956
_cell_length_b 4.956
_cell_length_c 5.396
_cell_angle_alpha 90.00
_cell_angle_beta 90.00
_cell_angle_gamma 90.00
_symmetry_space_group_name_H-M 'P 1'
_symmetry_Int_Tables_number 1
loop_
_symmetry_equiv_pos_as_xyz
'x,y,z'
loop_
_atom_site_label
_atom_site_type_symbol
_atom_site_fract_x
_atom_site_fract_y
_atom_site_fract_z
_atom_site_occupancy
Ga1 Ga 0.000 0.500 0.000 1
Ga2 Ga 0.500 0.000 0.000 1
Rb1 Rb 0.500 0.500 0.500 1
Pt1 Pt 0.000 0.000 0.000 1
Cd1 Cd 0.000 0.000 0.500 1
# V: 132.6 Å³ per cell
# E_form: -257 meV per atom



[9]
# Rb2CdGaPt (GGA-PBE, relaxed)
data_Rb2CdGaPt
_cell_length_a 6.559
_cell_length_b 6.559
_cell_length_c 4.825
_cell_angle_alpha 90.00
_cell_angle_beta 90.00
_cell_angle_gamma 90.00
_symmetry_space_group_name_H-M 'P 1'
_symmetry_Int_Tables_number 1
loop_
_symmetry_equiv_pos_as_xyz
'x,y,z'
loop_
_atom_site_label
_atom_site_type_symbol
_atom_site_fract_x
_atom_site_fract_y
_atom_site_fract_z
_atom_site_occupancy
Ga1 Ga 0.000 0.000 0.500 1
Rb1 Rb 0.000 0.500 0.000 1
Rb2 Rb 0.500 0.000 0.000 1
Pt1 Pt 0.000 0.000 0.000 1
Cd1 Cd 0.500 0.500 0.500 1
# V: 207.6 Å³ per cell
# E_form: -68 meV per atom



[10]
# CdGa2SbPt (GGA-PBE, relaxed)
data_CdGa2SbPt
_cell_length_a 5.178
_cell_length_b 5.424
_cell_length_c 5.178
_cell_angle_alpha 90.00
_cell_angle_beta 90.00
_cell_angle_gamma 90.00
_symmetry_space_group_name_H-M 'P 1'
_symmetry_Int_Tables_number 1
loop_
_symmetry_equiv_pos_as_xyz
'x,y,z'
loop_
_atom_site_label
_atom_site_type_symbol
_atom_site_fract_x
_atom_site_fract_y
_atom_site_fract_z
_atom_site_occupancy
Sb1 Sb 0.000 0.000 0.000 1
Ga1 Ga 0.000 0.000 0.500 1
Ga2 Ga 0.500 0.000 0.000 1
Pt1 Pt 0.500 0.500 0.500 1
Cd1 Cd 0.000 0.500 0.000 1
# ΔE_f (raw): 0.877 eV per atom
# V: 145.4 Å³ per cell



[11]
# ScCdGaPt (GGA-PBE, relaxed)
data_ScCdGaPt
_cell_length_a 4.683
_cell_length_b 4.683
_cell_length_c 4.683
_cell_angle_alpha 60.00
_cell_angle_beta 60.00
_cell_angle_gamma 60.00
_symmetry_space_group_name_H-M 'P 1'
_symmetry_Int_Tables_number 1
loop_
_symmetry_equiv_pos_as_xyz
'x,y,z'
loop_
_atom_site_label
_atom_site_type_symbol
_atom_site_fract_x
_atom_site_fract_y
_atom_site_fract_z
_atom_site_occupancy
Sc1 Sc 0.000 0.000 0.000 1
Ga1 Ga 0.250 0.250 0.250 1
Pt1 Pt 0.750 0.750 0.750 1
Cd1 Cd 0.500 0.500 0.500 1
# V: 72.6 Å³ per cell
# E_form: -601 meV per atom